LaY2Tl GGA-PBEsol optimized geometry; ΔE to the lowest computed polymorph = 15 kJ/mol of formula units
1.0
3.665 0.000 0.000
0.000 4.675 0.000
0.000 0.000 6.819
La Y Tl
1 2 1
Cartesian
0.000 0.000 3.475
0.000 0.000 6.729
1.832 2.338 1.662
1.832 2.338 5.180


Ta2AgBTe GGA-PBEsol optimized geometry; uncorrected formation energy = 2.533 eV per atom
1.0
-1.956 -3.562 2.684
4.174 -2.716 -0.562
1.908 2.075 4.144
Te Ag B Ta
1 1 1 2
Cartesian
0.000 0.000 0.000
-0.978 -1.781 1.342
2.063 -2.102 3.133
0.954 1.037 2.072
2.087 -1.358 -0.281


TbAu6 GGA-PBEsol optimized geometry; raw total energy = -4.513 eV/atom
1.0
-6.106 4.543 6.025
5.220 -3.688 8.070
6.066 8.316 -0.123
Au Tb
48 8
Cartesian
3.199 5.068 9.920
1.275 8.723 6.444
5.247 -0.686 8.514
2.725 10.172 4.554
4.205 4.065 7.372
-1.374 2.662 2.776
2.380 7.791 9.497
0.671 -0.402 5.948
0.852 2.721 10.541
4.037 8.595 6.542
3.782 4.542 3.088
0.332 0.434 1.652
0.098 11.137 5.697
8.156 5.570 5.176
5.390 5.967 11.462
0.275 1.223 8.287
9.671 5.150 7.561
-3.404 3.469 6.894
-2.382 1.870 8.961
6.938 4.607 7.467
7.837 5.555 9.930
-0.175 7.274 8.334
5.720 3.644 9.757
5.411 1.644 6.924
6.039 3.660 5.003
1.445 3.818 8.047
-1.214 4.367 8.436
1.919 4.987 1.038
2.452 6.308 7.191
4.710 6.031 5.365
2.399 -0.746 8.133
-2.302 4.762 4.575
0.532 5.487 10.397
2.262 -0.296 3.627
1.429 4.218 12.795
0.328 4.882 3.359
0.259 1.623 13.035
-1.487 8.851 6.346
4.874 8.361 3.775
-0.112 5.660 6.118
-1.134 7.259 4.051
3.964 1.924 4.210
4.571 8.689 11.039
2.258 4.152 5.334
3.947 6.872 1.498
1.295 2.293 3.493
2.563 1.584 6.542
1.172 -0.045 10.685
5.243 6.804 8.595
2.198 7.072 4.121
-2.990 6.417 7.177
4.365 -0.857 5.662
-0.526 2.712 5.834
2.527 6.954 12.364
6.459 5.830 2.742
3.445 1.755 9.395


Sr2ZrVO6 GGA-PBEsol optimized geometry; uncorrected formation energy = -3.038 eV per atom
1.0
-2.879 -0.824 4.756
-5.024 -2.513 -0.156
-0.608 -5.196 2.052
Sr O Zr V
2 6 1 1
Cartesian
-6.383 -6.400 4.988
-2.128 -2.133 1.663
-2.502 -4.714 2.714
-4.625 -3.424 1.652
-3.594 -2.613 4.013
-3.886 -5.110 4.999
-6.008 -3.820 3.938
-4.917 -5.921 2.638
0.000 0.000 0.000
-4.255 -4.267 3.326


FeTcBr2 GGA-PBEsol optimized geometry; uncorrected formation energy = 0.338 eV per atom; ΔE to the lowest computed polymorph = 0 kJ/mol of formula units
1.0
2.950 0.528 0.000
-0.528 2.950 0.000
0.000 0.000 7.882
Br Fe Tc
2 1 1
Cartesian
0.000 0.000 0.556
1.211 1.739 5.276
0.000 0.000 3.734
1.211 1.739 2.257


HgAsPb2 GGA-PBEsol optimized geometry; ΔE to the lowest computed polymorph = 23 kJ/mol of formula units
1.0
4.991 0.000 0.000
-2.495 4.773 0.023
0.000 -2.629 4.242
As Pb Hg
1 2 1
Cartesian
2.495 -1.315 2.121
0.000 0.414 3.193
2.495 1.729 1.072
0.000 0.000 0.000


| no. | total magnetization (Bohr magnetons per cell) |
| --- | --- |
| 1 | 0.00 |
| 2 | 0.00 |
| 3 | 0.00 |
| 4 | 1.00 |
| 5 | 1.20 |
| 6 | 0.00 |